[1]
## MgCIN2 (PBE)

Data for MgCIN2 after structural relaxation.

Unit cell a=3.903 b=3.903 c=4.470 alpha=90.00 beta=90.00 gamma=90.00
Last column: magnetic moment on the atom in μB.
Atoms (fractional coordinates):
I  0.000  0.000  0.500  0.12
Mg  0.500  0.500  0.500  0.00
C  0.000  0.000  0.000  -0.02
N  0.000  0.500  0.000  0.58
N  0.500  0.000  0.000  0.58

total energy	-3.605	eV per atom
SG	No. 123



[2]
## MgCIN2 (PBE)

Data for MgCIN2 after structural relaxation.

Unit cell a=4.091 b=4.091 c=6.303 alpha=90.00 beta=90.00 gamma=90.00
Last column: magnetic moment on the atom in μB.
Atoms (fractional coordinates):
I  0.000  0.000  0.500  0.14
Mg  0.000  0.000  0.000  -0.02
C  0.500  0.500  0.500  -0.65
N  0.000  0.500  0.000  1.35
N  0.500  0.000  0.000  1.35

total energy	-3.453	eV per atom
SG	No. 123



[3]
## MgCIO2 (PBE)

Data for MgCIO2 after structural relaxation.

Unit cell a=3.737 b=3.737 c=7.358 alpha=90.00 beta=90.00 gamma=90.00
Last column: magnetic moment on the atom in μB.
Atoms (fractional coordinates):
I  0.000  0.000  0.500  -0.07
Mg  0.000  0.000  0.000  0.00
C  0.500  0.500  0.500  0.48
O  0.000  0.500  0.000  -0.02
O  0.500  0.000  0.000  -0.02

total energy	-3.737	eV per atom
SG	No. 123



[4]
## MgCI2O (PBE)

Data for MgCI2O after structural relaxation.

Unit cell a=5.249 b=5.249 c=3.574 alpha=90.00 beta=90.00 gamma=90.00
Atoms (fractional coordinates):
I  0.000  0.500  0.000
I  0.500  0.000  0.000
Mg  0.500  0.500  0.500
C  0.000  0.000  0.000
O  0.000  0.000  0.500

total energy	-3.018	eV per atom
SG	No. 123



[5]
## MgCI2O (PBE)

Data for MgCI2O after structural relaxation.

Unit cell a=5.765 b=5.765 c=3.746 alpha=90.00 beta=90.00 gamma=90.00
Last column: magnetic moment on the atom in μB.
Atoms (fractional coordinates):
I  0.000  0.500  0.000  -0.29
I  0.500  0.000  0.000  -0.29
Mg  0.000  0.000  0.000  0.01
C  0.500  0.500  0.500  0.74
O  0.000  0.000  0.500  -0.48

total energy	-2.894	eV per atom
SG	No. 123



[6]
## MgCIO2 (PBE)

Data for MgCIO2 after structural relaxation.

Unit cell a=3.903 b=3.903 c=4.423 alpha=90.00 beta=90.00 gamma=90.00
Last column: magnetic moment on the atom in μB.
Atoms (fractional coordinates):
I  0.000  0.000  0.500  0.00
Mg  0.500  0.500  0.500  0.00
C  0.000  0.000  0.000  0.00
O  0.000  0.500  0.000  -0.09
O  0.500  0.000  0.000  -0.09

total energy	-3.673	eV per atom
SG	No. 123



Number 1: formation energy (no corrections) 2.20 eV/atom. Number 2: formation energy (no corrections) 2.35 eV/atom. Number 3: formation energy (no corrections) 0.72 eV/atom. Number 4: formation energy (no corrections) 0.76 eV/atom. Number 5: formation energy (no corrections) 0.88 eV/atom. Number 6: formation energy (no corrections) 0.78 eV/atom.